1.
A plane-wave DFT calculation with PBE was carried out for LaThPt after structural relaxation.

Unit cell a=4.137 b=4.792 c=4.792 alpha=120.00 beta=90.00 gamma=90.00
Fractional positions:
Pt 0.038 0.000 0.000
Th 0.276 0.333 0.667
La 0.687 0.667 0.333

Space-group type: P3m1, No. 156
Energy of formation from the pure elements in eV per formula unit: -1.729

=====

2.
A plane-wave DFT calculation with PBE was carried out for La3Pm3Sm8 after structural relaxation.

Unit cell a=5.811 b=9.931 c=9.931 alpha=102.63 beta=72.98 gamma=72.98
Fractional positions:
La 0.500 0.000 0.000
La 0.000 0.816 0.184
La 0.000 0.184 0.816
Pm 0.500 0.500 0.500
Pm 0.801 0.200 0.200
Pm 0.199 0.800 0.800
Sm 0.662 0.119 0.558
Sm 0.338 0.881 0.442
Sm 0.662 0.558 0.119
Sm 0.338 0.442 0.881
Sm 0.838 0.764 0.559
Sm 0.162 0.236 0.441
Sm 0.838 0.559 0.764
Sm 0.162 0.441 0.236

Space-group type: Immm, No. 71
Energy of formation from the pure elements in eV per formula unit: 1.303

=====

3.
A plane-wave DFT calculation with PBE was carried out for BaSrHg5 after structural relaxation.

Unit cell a=6.039 b=6.039 c=7.018 alpha=90.00 beta=90.00 gamma=113.87
Fractional positions:
Ba 0.000 0.000 0.000
Sr 0.500 0.500 0.500
Hg 0.500 0.000 0.257
Hg 0.000 0.500 0.257
Hg 0.000 0.000 0.500
Hg 0.000 0.500 0.743
Hg 0.500 0.000 0.743

Space-group type: Cmmm, No. 65
Energy of formation from the pure elements in eV per formula unit: -2.532

=====

4.
A plane-wave DFT calculation with PBE was carried out for Ca2CuIr4 after structural relaxation.

Unit cell a=4.557 b=4.557 c=7.913 alpha=73.27 beta=73.27 gamma=90.00
Fractional positions:
Ca 0.639 0.639 0.722
Ca 0.361 0.361 0.278
Ir 0.840 0.840 0.320
Ir 0.160 0.160 0.680
Ir 0.000 0.500 0.000
Ir 0.500 0.000 0.000
Cu 0.000 0.000 0.000

Space-group type: I4/mmm, No. 139
Energy of formation from the pure elements in eV per formula unit: 6.465

=====

5.
A plane-wave DFT calculation with PBE was carried out for MgTeO2 after structural relaxation.

Unit cell a=5.527 b=5.527 c=5.527 alpha=41.78 beta=41.78 gamma=41.78
Fractional positions:
Mg 0.000 0.000 0.000
Te 0.500 0.500 0.500
O 0.876 0.876 0.876
O 0.124 0.124 0.124

Space-group type: R-3m, No. 166
Uncorrected formation energy in eV per atom: -0.831

=====

6.
A plane-wave DFT calculation with PBE was carried out for NiBi3Au after structural relaxation.

Unit cell a=4.116 b=7.998 c=7.788 alpha=88.07 beta=90.01 gamma=104.90
Fractional positions:
Ni 0.228 0.490 0.650
Ni 0.815 0.664 0.772
Bi 0.092 0.216 0.430
Bi 0.414 0.860 0.633
Bi 0.630 0.294 0.789
Bi 0.953 0.938 0.991
Bi 0.269 0.569 0.000
Bi 0.775 0.586 0.422
Au 0.425 0.883 0.254
Au 0.619 0.272 0.168

Space-group type: P-1, No. 2
Energy of formation from the pure elements in eV per formula unit: -0.196

=====

7.
A plane-wave DFT calculation with PBE was carried out for AcZnGa3Pd after structural relaxation.

Unit cell a=6.694 b=6.593 c=6.905 alpha=118.52 beta=90.00 gamma=90.00
Fractional positions:
Ac 0.750 0.269 0.538
Ac 0.250 0.731 0.462
Zn 0.250 0.984 0.968
Zn 0.750 0.016 0.032
Ga 0.250 0.183 0.367
Ga 0.000 0.290 0.000
Ga 0.500 0.710 0.000
Ga 0.500 0.290 0.000
Ga 0.000 0.710 0.000
Ga 0.750 0.817 0.633
Pd 0.250 0.384 0.767
Pd 0.750 0.616 0.233

Space-group type: Cmcm, No. 63
Energy of formation from the pure elements in eV per formula unit: -1.863

=====

8.
A plane-wave DFT calculation with PBE was carried out for ScPaTlAu after structural relaxation.

Unit cell a=5.136 b=5.136 c=5.136 alpha=60.00 beta=60.00 gamma=60.00
Fractional positions:
Sc 0.750 0.750 0.750
Tl 0.000 0.000 0.000
Pa 0.250 0.250 0.250
Au 0.500 0.500 0.500

Space-group type: F-43m, No. 216
Energy of formation from the pure elements in eV per formula unit: -0.488

=====

9.
A plane-wave DFT calculation with PBE was carried out for CoOsSe2 after structural relaxation.

Unit cell a=4.457 b=4.457 c=4.457 alpha=60.00 beta=60.00 gamma=60.00
Fractional positions:
Co 0.500 0.500 0.500
Os 0.250 0.250 0.250
Se 0.000 0.000 0.000
Se 0.750 0.750 0.750

Space-group type: F-43m, No. 216
Uncorrected formation energy in eV per atom: 1.028

=====

10.
A plane-wave DFT calculation with PBE was carried out for Tc3Au4 after structural relaxation.

Unit cell a=14.668 b=14.668 c=14.668 alpha=168.96 beta=168.96 gamma=15.63
Fractional positions:
Tc 0.000 0.000 0.000
Tc 0.278 0.278 0.000
Tc 0.722 0.722 0.000
Au 0.148 0.148 0.000
Au 0.430 0.430 0.000
Au 0.570 0.570 0.000
Au 0.852 0.852 0.000

Space-group type: I4/mmm, No. 139
Energy of formation from the pure elements in eV per formula unit: 1.551

=====

11.
A plane-wave DFT calculation with PBE was carried out for Ba3LaTe4 after structural relaxation.

Unit cell a=4.840 b=8.450 c=8.450 alpha=109.15 beta=90.00 gamma=90.00
Fractional positions:
Ba 0.000 0.000 0.500
Ba 0.500 0.500 0.500
Ba 0.000 0.500 0.000
La 0.500 0.000 0.000
Te 0.000 0.231 0.231
Te 0.500 0.761 0.239
Te 0.000 0.769 0.769
Te 0.500 0.239 0.761

Space-group type: Cmmm, No. 65
Uncorrected formation energy in eV per atom: -1.713

=====

12.
A plane-wave DFT calculation with PBE was carried out for TlSiP2O8 after structural relaxation.

Unit cell a=4.686 b=4.686 c=7.863 alpha=90.00 beta=90.00 gamma=120.00
Fractional positions:
Tl 0.000 0.000 0.000
Si 0.000 0.000 0.500
P 0.667 0.333 0.305
P 0.333 0.667 0.695
O 0.333 0.667 0.894
O 0.328 0.274 0.365
O 0.726 0.054 0.365
O 0.667 0.333 0.106
O 0.274 0.946 0.635
O 0.672 0.726 0.635
O 0.054 0.328 0.635
O 0.946 0.672 0.365

Space-group type: P-3, No. 147
Uncorrected formation energy in eV per atom: -2.012